Below is a geometry-optimized Co5Tc structure, with properties calculated at the GGA-PBEsol level.

Output
- ΔE_f (eV/atom) = 0.06
- space-group type = P4/mmm (123)
- final energy (eV per atom) = -8.268
- density of states at the Fermi level (states/eV/cell) = 7.690

a = 2.519 Å, b = 2.519 Å, c = 10.305 Å
α = 90.00°, β = 90.00°, γ = 90.00°
Site moments in Bohr magnetons follow the coordinates.
Atoms (fractional coordinates):
Co 0.000 0.000 0.821  1.00
Co 0.000 0.000 0.179  1.00
Co 0.500 0.500 0.661  1.59
Co 0.500 0.500 0.339  1.59
Co 0.000 0.000 0.500  1.62
Tc 0.500 0.500 0.000  -0.10